A plane-wave DFT calculation with PBE-GGA was carried out for Rb3TmAg2Br8 after structural relaxation.

Lattice parameters (Å, degrees): 7.822 7.822 10.259 90.00 90.00 120.00
Sites, in units of the cell vectors:
Rb (0.000, 0.000, 0.000)
Br (0.164, 0.327, 0.340)
Br (0.327, 0.164, 0.660)
Rb (0.667, 0.333, 0.383)
Rb (0.333, 0.667, 0.617)
Br (0.836, 0.673, 0.660)
Br (0.673, 0.836, 0.340)
Br (0.164, 0.836, 0.340)
Br (0.333, 0.667, 0.936)
Ag (0.667, 0.333, 0.818)
Tm (0.000, 0.000, 0.500)
Br (0.836, 0.164, 0.660)
Br (0.667, 0.333, 0.064)
Ag (0.333, 0.667, 0.182)

## Properties
energy relative to the elements, uncorrected = -1341 meV/atom